DFT (GGA+U) results for a geometry-optimized CoBrF2 structure.

Structure (POSCAR):
```
CoBrF2
1.0
1.806 0.000 9.351
-0.903 1.564 9.351
-0.903 -1.564 9.351
Co Br F
1 1 2
direct
0.500 0.500 0.500
0.000 0.000 0.000
0.131 0.131 0.131
0.869 0.869 0.869
```

Values from the calculation:
Its energy above the lowest structure with this stoichiometry is 0 meV/atom. The density of states at the Fermi level is 1.346 states/eV/f.u. For the magnetic moment, the calculation gives 3.00 μB/f.u. The value obtained for the electronic total energy is -4.06 eV per atom. The space group is R-3m, No. 166.